[1]
## Ca3SbAu4 (PBE)

Data for a geometry-optimized Ca3SbAu4 structure.

For the formation energy without anion corrections, the calculation gives -625 meV/atom. The density of states at the Fermi level comes out at 7.4 states/eV/cell.

The structure in CIF format:
```
data_Ca3SbAu4
_chemical_formula_sum 'Ca6 Sb2 Au8'
_cell_length_a 4.119
_cell_length_b 7.268
_cell_length_c 14.120
_cell_angle_alpha 90.00
_cell_angle_beta 90.00
_cell_angle_gamma 90.00
_symmetry_space_group_name_H-M 'I m m m'
_symmetry_Int_Tables_number 71
_symmetry_space_group_name_Hall '-I 2 2'
loop_
_atom_site_label
_atom_site_fract_x
_atom_site_fract_y
_atom_site_fract_z
_atom_site_occupancy
Ca1 0.000 0.000 0.000 1
Ca2 0.000 0.500 0.178 1
Sb1 0.000 0.000 0.500 1
Au1 0.000 0.308 0.369 1
```

[2]
## Y3PtRh2 (PBE)

Data for a geometry-optimized Y3PtRh2 structure.

For the formation energy, the calculation gives -0.961 eV/atom. The density of states at the Fermi level comes out at 7.1 states/eV/cell.

The structure in CIF format:
```
data_Y3PtRh2
_chemical_formula_sum 'Y6 Pt2 Rh4'
_cell_length_a 4.921
_cell_length_b 14.746
_cell_length_c 3.424
_cell_angle_alpha 90.00
_cell_angle_beta 90.00
_cell_angle_gamma 90.00
_symmetry_space_group_name_H-M 'C m m m'
_symmetry_Int_Tables_number 65
_symmetry_space_group_name_Hall '-C 2 2'
loop_
_atom_site_label
_atom_site_fract_x
_atom_site_fract_y
_atom_site_fract_z
_atom_site_occupancy
Y1 0.000 0.000 0.000 1
Y2 0.000 0.332 0.000 1
Pt1 0.000 0.500 0.500 1
Rh1 0.000 0.168 0.500 1
```

[3]
## LaLuCdPb (PBE)

Data for a geometry-optimized LaLuCdPb structure.

For the formation energy, the calculation gives -0.381 eV/atom. The density of states at the Fermi level comes out at 13.1 states/eV/cell.

The structure in CIF format:
```
data_LaLuCdPb
_chemical_formula_sum 'La4 Lu4 Cd4 Pb4'
_cell_length_a 7.691
_cell_length_b 7.691
_cell_length_c 7.691
_cell_angle_alpha 90.00
_cell_angle_beta 90.00
_cell_angle_gamma 90.00
_symmetry_space_group_name_H-M 'F -4 3 m'
_symmetry_Int_Tables_number 216
_symmetry_space_group_name_Hall 'F -4 2 3'
loop_
_atom_site_label
_atom_site_fract_x
_atom_site_fract_y
_atom_site_fract_z
_atom_site_occupancy
La1 0.000 0.000 0.000 1
Lu1 0.000 0.000 0.500 1
Cd1 0.250 0.250 0.250 1
Pb1 0.250 0.250 0.750 1
```

Number 1: calculated volume 422.7 Å³ per cell. Number 2: calculated volume 248.5 Å³ per cell. Number 3: calculated volume 455.0 Å³ per cell.